w | # Cd2ReAg (PBE, relaxed)
data_Cd2ReAg
_symmetry_space_group_name_H-M 'P 1'
_symmetry_Int_Tables_number 1
_cell_length_a 6.649
_cell_length_b 5.197
_cell_length_c 2.826
_cell_angle_alpha 90.03
_cell_angle_beta 64.81
_cell_angle_gamma 121.60
loop_
_symmetry_equiv_pos_as_xyz
'x,y,z'
loop_
_atom_site_label
_atom_site_fract_x
_atom_site_fract_y
_atom_site_fract_z
Re1 0.000 0.500 0.500
Ag1 0.500 0.500 0.000
Cd1 0.000 0.000 0.000
Cd2 0.500 0.000 0.500
# - magnetization (μB per atom) = 0.000



x | # Cd2ReAg (PBE, relaxed)
data_Cd2ReAg
_symmetry_space_group_name_H-M 'P 1'
_symmetry_Int_Tables_number 1
_cell_length_a 5.724
_cell_length_b 5.724
_cell_length_c 5.724
_cell_angle_alpha 150.55
_cell_angle_beta 127.34
_cell_angle_gamma 61.48
loop_
_symmetry_equiv_pos_as_xyz
'x,y,z'
loop_
_atom_site_label
_atom_site_fract_x
_atom_site_fract_y
_atom_site_fract_z
Re1 0.750 0.250 0.500
Ag1 0.250 0.750 0.500
Cd1 0.002 0.002 0.000
Cd2 0.498 0.498 0.000
# - magnetization (μB per atom) = 0.000



y | # Cd2ReAg (PBE, relaxed)
data_Cd2ReAg
_symmetry_space_group_name_H-M 'P 1'
_symmetry_Int_Tables_number 1
_cell_length_a 4.923
_cell_length_b 2.853
_cell_length_c 5.165
_cell_angle_alpha 90.00
_cell_angle_beta 90.00
_cell_angle_gamma 90.00
loop_
_symmetry_equiv_pos_as_xyz
'x,y,z'
loop_
_atom_site_label
_atom_site_fract_x
_atom_site_fract_y
_atom_site_fract_z
Re1 0.000 0.625 0.449
Ag1 0.500 0.625 0.791
Cd1 0.000 0.125 0.946
Cd2 0.500 0.125 0.314
# - magnetization (μB per atom) = 0.000



w wins, 54 meV per atom ahead of the next structure.



w | # Cd3ReAg (PBE, relaxed)
data_Cd3ReAg
_symmetry_space_group_name_H-M 'P 1'
_symmetry_Int_Tables_number 1
_cell_length_a 5.132
_cell_length_b 5.132
_cell_length_c 5.132
_cell_angle_alpha 90.00
_cell_angle_beta 90.00
_cell_angle_gamma 90.00
loop_
_symmetry_equiv_pos_as_xyz
'x,y,z'
loop_
_atom_site_label
_atom_site_fract_x
_atom_site_fract_y
_atom_site_fract_z
Re1 0.500 0.500 0.500
Ag1 0.000 0.000 0.000
Cd1 0.000 0.500 0.000
Cd2 0.000 0.000 0.500
Cd3 0.500 0.000 0.000
# - magnetization (μB per atom) = 0.795



x | # Cd3ReAg (PBE, relaxed)
data_Cd3ReAg
_symmetry_space_group_name_H-M 'P 1'
_symmetry_Int_Tables_number 1
_cell_length_a 5.268
_cell_length_b 5.268
_cell_length_c 5.268
_cell_angle_alpha 90.00
_cell_angle_beta 90.00
_cell_angle_gamma 90.00
loop_
_symmetry_equiv_pos_as_xyz
'x,y,z'
loop_
_atom_site_label
_atom_site_fract_x
_atom_site_fract_y
_atom_site_fract_z
Re1 0.000 0.000 0.000
Ag1 0.500 0.500 0.500
Cd1 0.000 0.500 0.000
Cd2 0.000 0.000 0.500
Cd3 0.500 0.000 0.000
# - magnetization (μB per atom) = 0.302



x wins, 256 meV per atom ahead of the next structure.